(1)
The following is a GGA-PBE calculation of crystalline Pm3TeIrBr at its relaxed geometry, from the Alexandria database.

## Properties
Density of states at the Fermi level, states/eV per cell: 6.167

Structure (CIF):
```
data_Pm3TeIrBr
_chemical_formula_sum 'Pm6 Te2 Ir2 Br2'
_cell_length_a 8.9892
_cell_length_b 4.1967
_cell_length_c 10.6886
_cell_angle_alpha 90.00
_cell_angle_beta 91.31
_cell_angle_gamma 90.00
_space_group_name_H-M_alt 'P 1 21/m 1'
_space_group_IT_number 11
_space_group_name_Hall '-P 2yb'
loop_
_atom_site_label
_atom_site_type_symbol
_atom_site_fract_x
_atom_site_fract_y
_atom_site_fract_z
_atom_site_occupancy
Pm1 Pm 0.1070 0.2500 0.3712 1
Pm2 Pm 0.1372 0.2500 0.8907 1
Pm3 Pm 0.3401 0.7500 0.6314 1
Te1 Te 0.3851 0.7500 0.3356 1
Ir1 Ir 0.1184 0.2500 0.6391 1
Br1 Br 0.3616 0.7500 0.9228 1
```



(2)
The following is a GGA-PBE calculation of crystalline Pm6Te3Ir2Br at its relaxed geometry, from the Alexandria database.

## Properties
Density of states at the Fermi level, states/eV per cell: 13.591

Structure (CIF):
```
data_Pm6Te3Ir2Br
_chemical_formula_sum 'Pm12 Te6 Ir4 Br2'
_cell_length_a 19.3061
_cell_length_b 4.2433
_cell_length_c 9.0059
_cell_angle_alpha 90.00
_cell_angle_beta 105.40
_cell_angle_gamma 90.00
_space_group_name_H-M_alt 'C 1 2/m 1'
_space_group_IT_number 12
_space_group_name_Hall '-C 2y'
loop_
_atom_site_label
_atom_site_type_symbol
_atom_site_fract_x
_atom_site_fract_y
_atom_site_fract_z
_atom_site_occupancy
Pm1 Pm 0.0209 0.0000 0.2670 1
Pm2 Pm 0.1750 0.5000 0.5653 1
Pm3 Pm 0.1772 0.5000 0.1346 1
Te1 Te 0.0000 0.5000 0.5000 1
Te2 Te 0.1547 0.0000 0.8458 1
Ir1 Ir 0.1700 0.0000 0.3416 1
Br1 Br 0.0000 0.5000 0.0000 1
```



(3)
The following is a GGA-PBE calculation of crystalline Pm4TeIrBr2 at its relaxed geometry, from the Alexandria database.

## Properties
Density of states at the Fermi level, states/eV per cell: 6.059

Structure (CIF):
```
data_Pm4TeIrBr2
_chemical_formula_sum 'Pm4 Te1 Ir1 Br2'
_cell_length_a 7.7991
_cell_length_b 4.1834
_cell_length_c 7.9523
_cell_angle_alpha 90.00
_cell_angle_beta 108.57
_cell_angle_gamma 90.00
_space_group_name_H-M_alt 'P 1 2/m 1'
_space_group_IT_number 10
_space_group_name_Hall '-P 2y'
loop_
_atom_site_label
_atom_site_type_symbol
_atom_site_fract_x
_atom_site_fract_y
_atom_site_fract_z
_atom_site_occupancy
Pm1 Pm 0.2007 0.0000 0.2040 1
Pm2 Pm 0.2185 0.5000 0.7793 1
Te1 Te 0.0000 0.0000 0.5000 1
Ir1 Ir 0.0000 0.5000 0.0000 1
Br1 Br 0.5000 0.0000 0.0000 1
Br2 Br 0.5000 0.5000 0.5000 1
```



(4)
The following is a GGA-PBE calculation of crystalline PmThIrBr at its relaxed geometry, from the Alexandria database.

## Properties
Density of states at the Fermi level, states/eV per cell: 7.647

Structure (CIF):
```
data_PmThIrBr
_chemical_formula_sum 'Pm3 Th3 Ir3 Br3'
_cell_length_a 4.1816
_cell_length_b 4.1816
_cell_length_c 23.8172
_cell_angle_alpha 90.00
_cell_angle_beta 90.00
_cell_angle_gamma 120.00
_space_group_name_H-M_alt 'R 3 m'
_space_group_IT_number 160
_space_group_name_Hall 'R 3 -2"'
loop_
_atom_site_label
_atom_site_type_symbol
_atom_site_fract_x
_atom_site_fract_y
_atom_site_fract_z
_atom_site_occupancy
Pm1 Pm 0.0000 0.0000 0.0000 1
Th1 Th 0.0000 0.0000 0.2088 1
Ir1 Ir 0.0000 0.0000 0.6007 1
Br1 Br 0.0000 0.0000 0.7728 1
```



(5)
The following is a GGA-PBE calculation of crystalline Pm6ZnIr2Br3 at its relaxed geometry, from the Alexandria database.

## Properties
Density of states at the Fermi level, states/eV per cell: 15.589

Structure (CIF):
```
data_Pm6ZnIr2Br3
_chemical_formula_sum 'Pm12 Zn2 Ir4 Br6'
_cell_length_a 7.2245
_cell_length_b 12.5133
_cell_length_c 8.1037
_cell_angle_alpha 90.00
_cell_angle_beta 107.29
_cell_angle_gamma 90.00
_space_group_name_H-M_alt 'C 1 2/m 1'
_space_group_IT_number 12
_space_group_name_Hall '-C 2y'
loop_
_atom_site_label
_atom_site_type_symbol
_atom_site_fract_x
_atom_site_fract_y
_atom_site_fract_z
_atom_site_occupancy
Pm1 Pm 0.2151 0.0000 0.2008 1
Pm2 Pm 0.2428 0.3242 0.2011 1
Zn1 Zn 0.0000 0.5000 0.0000 1
Ir1 Ir 0.0000 0.1667 0.0000 1
Br1 Br 0.0000 0.0000 0.5000 1
Br2 Br 0.0000 0.3335 0.5000 1
```



(6)
The following is a GGA-PBE calculation of crystalline Pm8ZnIr3Br4 at its relaxed geometry, from the Alexandria database.

## Properties
Density of states at the Fermi level, states/eV per cell: 33.342

Structure (CIF):
```
data_Pm8ZnIr3Br4
_chemical_formula_sum 'Pm24 Zn3 Ir9 Br12'
_cell_length_a 8.3418
_cell_length_b 8.3418
_cell_length_c 23.1686
_cell_angle_alpha 90.00
_cell_angle_beta 90.00
_cell_angle_gamma 120.00
_space_group_name_H-M_alt 'R -3 m'
_space_group_IT_number 166
_space_group_name_Hall '-R 3 2"'
loop_
_atom_site_label
_atom_site_type_symbol
_atom_site_fract_x
_atom_site_fract_y
_atom_site_fract_z
_atom_site_occupancy
Pm1 Pm 0.0000 0.0000 0.2325 1
Pm2 Pm 0.0136 0.5068 0.7675 1
Zn1 Zn 0.0000 0.0000 0.5000 1
Ir1 Ir 0.0000 0.5000 0.5000 1
Br1 Br 0.0000 0.0000 0.0000 1
Br2 Br 0.0000 0.5000 0.0000 1
```



In order of appearance, formation energy from raw total energies = -1.04, -1.16, -1.16, -1.08, -0.97, -0.99 eV per atom.